Here is PuSi3 after structural relaxation from Alexandria via LeMat-Bulk. Energies are from GGA-PBE.

Structure (extended XYZ):
```
4
Lattice="4.032 0.000 0.000 0.000 4.032 0.000 0.000 0.000 4.032" Properties=species:S:1:pos:R:3 pbc="T T T"
Pu 0.000 0.000 0.000
Si 0.000 2.016 2.016
Si 2.016 0.000 2.016
Si 2.016 2.016 0.000
```

## Properties
Calculated total energy ... -7.9762 eV/atom

=====

Here is Pu3Si after structural relaxation from Alexandria via LeMat-Bulk. Energies are from GGA-PBE.

Structure (extended XYZ):
```
16
Lattice="6.774 0.000 0.000 0.000 6.774 0.000 0.000 0.000 6.774" Properties=species:S:1:pos:R:3 pbc="T T T"
Pu 0.000 0.000 0.000
Pu 0.000 3.387 3.387
Pu 1.693 1.693 1.693
Pu 1.693 1.693 5.080
Pu 1.693 5.080 1.693
Pu 1.693 5.080 5.080
Pu 3.387 0.000 3.387
Pu 3.387 3.387 0.000
Pu 5.080 1.693 1.693
Pu 5.080 1.693 5.080
Pu 5.080 5.080 1.693
Pu 5.080 5.080 5.080
Si 0.000 0.000 3.387
Si 0.000 3.387 0.000
Si 3.387 0.000 0.000
Si 3.387 3.387 3.387
```

## Properties
Relative energy among the computed polymorphs ... 199 meV/atom

=====

Here is PuSi2 after structural relaxation from Alexandria via LeMat-Bulk. Energies are from GGA-PBE.

Structure (extended XYZ):
```
6
Lattice="0.000 3.718 3.718 3.718 0.000 3.718 3.718 3.718 0.000" Properties=species:S:1:pos:R:3 pbc="T T T"
Pu 0.930 0.930 0.930
Pu 6.507 6.507 6.507
Si 3.718 1.859 1.859
Si 1.859 3.718 1.859
Si 1.859 1.859 3.718
Si 3.718 3.718 3.718
```

## Properties
Calculated total energy ... -8.7448 eV/atom

=====

Here is Pu3Si after structural relaxation from Alexandria via LeMat-Bulk. Energies are from GGA-PBE.

Structure (extended XYZ):
```
4
Lattice="5.392 0.000 0.000 0.000 5.392 0.000 0.000 0.000 2.355" Properties=species:S:1:pos:R:3 pbc="T T T"
Pu 0.000 0.000 0.000
Pu 0.000 2.696 1.178
Pu 2.696 0.000 1.178
Si 2.696 2.696 0.000
```

## Properties
Relative energy among the computed polymorphs ... 463 meV/atom

=====

Here is PuSi after structural relaxation from Alexandria via LeMat-Bulk. Energies are from GGA-PBE.

Structure (extended XYZ):
```
8
Lattice="7.962 0.000 0.000 0.000 3.856 0.000 0.000 0.000 5.686" Properties=species:S:1:pos:R:3 pbc="T T T"
Pu 1.426 0.964 0.615
Pu 2.555 2.892 3.458
Pu 5.407 0.964 2.228
Pu 6.536 2.892 5.071
Si 0.251 0.964 3.534
Si 3.730 2.892 0.691
Si 4.232 0.964 4.995
Si 7.711 2.892 2.152
```

## Properties
Calculated total energy ... -10.3106 eV/atom

=====

Here is PuSi2 after structural relaxation from Alexandria via LeMat-Bulk. Energies are from GGA-PBE.

Structure (extended XYZ):
```
12
Lattice="3.994 0.000 0.000 0.000 3.994 0.000 0.000 0.000 14.060" Properties=species:S:1:pos:R:3 pbc="T T T"
Pu 0.000 0.998 5.273
Pu 0.000 2.995 8.788
Pu 1.997 0.998 1.758
Pu 1.997 2.995 12.303
Si 0.000 0.998 11.141
Si 0.000 0.998 13.464
Si 0.000 2.995 0.596
Si 0.000 2.995 2.919
Si 1.997 0.998 7.626
Si 1.997 0.998 9.949
Si 1.997 2.995 4.111
Si 1.997 2.995 6.434
```

## Properties
Calculated total energy ... -8.8568 eV/atom

=====

Repeat the sixth record exactly.
Here is PuSi2 after structural relaxation from Alexandria via LeMat-Bulk. Energies are from GGA-PBE.

Structure (extended XYZ):
```
12
Lattice="3.994 0.000 0.000 0.000 3.994 0.000 0.000 0.000 14.060" Properties=species:S:1:pos:R:3 pbc="T T T"
Pu 0.000 0.998 5.273
Pu 0.000 2.995 8.788
Pu 1.997 0.998 1.758
Pu 1.997 2.995 12.303
Si 0.000 0.998 11.141
Si 0.000 0.998 13.464
Si 0.000 2.995 0.596
Si 0.000 2.995 2.919
Si 1.997 0.998 7.626
Si 1.997 0.998 9.949
Si 1.997 2.995 4.111
Si 1.997 2.995 6.434
```

## Properties
Calculated total energy ... -8.8568 eV/atom